Compound: Dy2Si3Rh2
Source: Alexandria
Functional: PBE
Structure: optimized geometry

As for the uncorrected formation energy: -0.9689 eV/atom. The total magnetic moment is 0.00 μB/f.u. For the relative energy among the computed polymorphs, the calculation gives 0.0000 eV per atom. The crystal system is orthorhombic. The density comes out at 8.3 g cm⁻³.

It has space group Cmcm (No. 63), with a = 4.0590 Å, b = 17.5614 Å, c = 6.9288 Å, α = 90.00°, β = 90.00° and γ = 90.00°. Symmetry generates all atoms from Dy at (0.0000, 0.0560, 0.2500), Dy at (0.0000, 0.1569, 0.7500), Si at (0.0000, 0.2235, 0.2500), Si at (0.0000, 0.4393, 0.0721) and Rh at (0.0000, 0.3089, 0.5483).